5
Lattice="-2.250 2.534 -3.460 -0.338 -4.000 -2.710 -4.275 -1.018 2.035" Properties=species:S:1:pos:R:3 comment="BaIr3Ru, optimized geometry, DFT GGA-PBE" e_above_lowest_polymorph_mev_per_atom=0 ef_ev_per_fu=4.65 sg="Pm-3m (221)" dft_energy_ev_per_fu=-33.134 pbc="T T T"
Ru 0.000 0.000 0.000
Ir -0.169 -2.000 -1.355
Ir -2.138 -0.509 1.018
Ir -1.125 1.267 -1.730
Ba -3.432 -1.242 -2.067



5
Lattice="4.665 0.000 0.000 0.000 4.665 0.000 0.000 0.000 4.665" Properties=species:S:1:pos:R:3 comment="MnP3Se, optimized geometry, DFT GGA-PBE" e_above_lowest_polymorph_mev_per_atom=1238 formation_energy_uncorrected_ev_per_fu=8.298 sg="Pm-3m (221)" dft_energy_ev_per_fu=-20.585 pbc="T T T"
P 0.000 2.333 0.000
P 0.000 0.000 2.333
P 2.333 0.000 0.000
Mn 2.333 2.333 2.333
Se 0.000 0.000 0.000



4
Lattice="4.900 0.000 0.000 2.450 4.243 0.000 2.450 1.414 4.001" Properties=species:S:1:pos:R:3 comment="TbLuCoAg, optimized geometry, DFT GGA-PBE" ef_ev_per_fu=-0.79 sg="F-43m (216)" dft_energy_ev_per_fu=-19.903 pbc="T T T"
Co 2.450 1.414 1.000
Lu 4.900 2.829 2.000
Tb 0.000 0.000 0.000
Ag 7.350 4.243 3.001



11
Lattice="5.285 0.000 0.000 0.000 6.996 -0.063 -2.642 -3.084 8.800" Properties=species:S:1:pos:R:3 comment="Nd8GaPd2, optimized geometry, DFT GGA-PBE" e_above_lowest_polymorph_mev_per_atom=0 ef_ev_per_fu=-4.04 sg="C2/m (12)" dft_energy_ev_per_fu=-55.591 pbc="T T T"
Nd 0.000 1.199 7.125
Nd 2.642 -1.053 3.072
Nd 2.642 2.777 5.249
Nd 2.642 -1.410 8.287
Nd 0.000 1.135 3.488
Nd 0.000 4.964 5.664
Nd 2.642 2.712 1.612
Nd 0.000 5.322 0.450
Ga 2.642 0.000 0.000
Pd 2.642 -0.119 5.782
Pd 0.000 4.031 2.955



4
Lattice="4.800 3.921 1.266 6.149 1.476 -0.182 4.753 3.731 -1.873" Properties=species:S:1:pos:R:3 comment="MgGaN2, optimized geometry, DFT GGA-PBE" e_above_lowest_polymorph_mev_per_atom=207 formation_energy_uncorrected_ev_per_fu=1.862 sg="R-3m (166)" dft_energy_ev_per_fu=-19.410 pbc="T T T"
Mg 0.000 0.000 0.000
Ga 7.851 4.564 -0.395
N 14.010 8.145 -0.704
N 1.692 0.984 -0.085



10
Lattice="4.219 -2.436 0.000 0.000 4.872 0.000 0.000 0.000 17.455" Properties=species:S:1:pos:R:3 comment="RbCaCl3, optimized geometry, DFT GGA-PBE" formation_energy_uncorrected_ev_per_fu=-10.809 sg="P6_3/mmc (194)" dft_energy_ev_per_fu=-19.318 pbc="T T T"
Ca 1.406 2.436 13.091
Ca 2.813 0.000 4.364
Rb 0.000 0.000 0.000
Rb 0.000 0.000 8.727
Cl 0.000 0.000 4.364
Cl 0.000 0.000 13.091
Cl 1.406 2.436 15.710
Cl 1.406 2.436 10.472
Cl 2.813 0.000 6.983
Cl 2.813 0.000 1.745



80
Lattice="10.415 0.000 0.000 -3.472 9.820 0.000 -3.472 -4.910 8.504" Properties=species:S:1:pos:R:3 comment="Pm3H12Pd5, optimized geometry, DFT GGA-PBE" sg="Ia-3d (230)" dft_energy_ev_per_fu=-86.960 pbc="T T T"
H 6.763 0.988 0.144
H 0.180 3.073 3.469
H 7.810 2.324 2.625
H 4.341 1.343 0.927
H 1.323 3.477 5.735
H 7.578 4.958 1.483
H -0.867 5.890 3.552
H -2.605 8.476 0.927
H 0.413 6.342 5.735
H 4.573 4.862 1.483
H 5.388 2.824 3.325
H 5.388 8.832 0.144
H -3.059 4.251 4.396
H 2.370 3.601 0.700
H -3.652 6.995 3.325
H 1.916 -1.837 5.035
H -0.413 0.773 1.627
H 2.370 6.170 0.783
H 4.341 7.496 2.625
H -0.634 3.649 0.783
H -2.149 5.683 6.877
H 2.603 3.930 3.552
H 4.795 5.569 4.396
H 4.106 -1.309 7.804
H 0.869 0.980 4.952
H -1.323 -0.659 4.108
H -0.634 6.219 0.700
H -0.869 -2.586 5.879
H 5.620 -0.773 1.627
H 4.106 1.260 7.721
H 1.101 -1.260 7.721
H 1.556 6.746 3.469
H 3.884 4.136 6.877
H 7.124 -2.086 5.179
H 6.531 0.659 4.108
H -1.916 -3.922 8.360
H 1.101 1.309 7.804
H 3.059 -1.433 2.769
H -1.101 0.048 7.021
H -1.916 2.086 5.179
H 6.077 -3.566 7.577
H 4.339 -0.980 4.952
H -0.869 3.566 7.577
H -4.106 -0.048 7.021
H 2.149 1.433 2.769
H -4.339 2.586 5.879
H 3.291 1.837 5.035
H -3.291 3.922 8.360
Pd -0.868 2.455 2.126
Pd -1.736 4.910 0.000
Pd 0.000 0.000 0.000
Pd 2.604 1.841 1.063
Pd 3.472 -2.455 4.252
Pd 3.472 4.910 0.000
Pd -2.604 5.524 3.189
Pd 4.340 -3.069 7.441
Pd 4.340 4.296 3.189
Pd 0.868 -2.455 6.378
Pd 2.604 7.365 2.126
Pd 1.736 2.455 4.252
Pd 5.208 0.000 0.000
Pd -1.736 -2.455 4.252
Pd -0.868 0.614 5.315
Pd -0.868 7.979 1.063
Pd -3.472 2.455 4.252
Pd 6.076 -0.614 5.315
Pd 0.868 3.069 7.441
Pd 4.340 2.455 6.378
Pm 6.076 3.069 1.063
Pm 6.076 6.751 1.063
Pm -0.868 4.296 5.315
Pm 0.868 -0.614 3.189
Pm 7.812 0.000 2.126
Pm 0.868 4.910 2.126
Pm 2.604 0.000 6.378
Pm -4.340 4.910 6.378
Pm 2.604 5.524 5.315
Pm 4.340 0.614 3.189
Pm -2.604 -1.841 7.441
Pm -2.604 1.841 7.441



4
Lattice="4.434 0.000 0.000 1.431 4.197 0.000 -2.933 -2.098 2.580" Properties=species:S:1:pos:R:3 comment="CuNi2Os, optimized geometry, DFT GGA-PBE" e_above_lowest_polymorph_mev_per_atom=177 ef_ev_per_fu=1.07 sg="I-4m2 (119)" dft_energy_ev_per_fu=-25.816 pbc="T T T"
Cu 2.217 0.000 1.290
Ni 0.000 0.000 0.000
Ni 0.716 2.098 1.290
Os 2.933 2.098 0.000